(1)
## Tb3Zn3Ni2 (PBE)

Data for a relaxed structure of Tb3Zn3Ni2.

Structure (POSCAR):
```
Tb3Zn3Ni2
1.0
7.427 0.000 0.000
0.000 15.645 0.000
0.000 0.000 5.397
Tb Zn Ni
12 12 8
direct
0.037 0.107 0.118 Tb
0.037 0.393 0.118 Tb
0.166 0.250 0.636 Tb
0.334 0.750 0.136 Tb
0.463 0.607 0.618 Tb
0.463 0.893 0.618 Tb
0.537 0.107 0.382 Tb
0.537 0.393 0.382 Tb
0.666 0.250 0.864 Tb
0.834 0.750 0.364 Tb
0.963 0.607 0.882 Tb
0.963 0.893 0.882 Tb
0.175 0.034 0.602 Zn
0.175 0.466 0.602 Zn
0.176 0.750 0.629 Zn
0.324 0.250 0.129 Zn
0.325 0.534 0.102 Zn
0.325 0.966 0.102 Zn
0.675 0.034 0.898 Zn
0.675 0.466 0.898 Zn
0.676 0.750 0.871 Zn
0.824 0.250 0.371 Zn
0.825 0.534 0.398 Zn
0.825 0.966 0.398 Zn
0.117 0.614 0.379 Ni
0.117 0.886 0.379 Ni
0.383 0.114 0.879 Ni
0.383 0.386 0.879 Ni
0.617 0.614 0.121 Ni
0.617 0.886 0.121 Ni
0.883 0.114 0.621 Ni
0.883 0.386 0.621 Ni
```

Results
DFT total energy: -129.83 eV/cell
space-group type: Pnma (62)
volume: 627.1 Å³/cell
ΔE_f: -0.40 eV per atom
calculated density: 8.4 g/cm3

(2)
## TbZn7Ni5 (PBE)

Data for a relaxed structure of TbZn7Ni5.

Structure (POSCAR):
```
TbZn7Ni5
1.0
-2.512 4.270 4.245
2.512 -4.270 4.245
2.512 4.270 -4.245
Tb Zn Ni
1 7 5
direct
0.000 0.000 0.000 Tb
0.231 0.517 0.714 Zn
0.246 0.746 0.500 Zn
0.352 0.352 0.000 Zn
0.375 0.029 0.346 Zn
0.666 0.666 0.000 Zn
0.683 0.029 0.654 Zn
0.803 0.517 0.286 Zn
0.020 0.019 0.497 Ni
0.020 0.522 0.001 Ni
0.521 0.019 0.999 Ni
0.521 0.522 0.503 Ni
0.795 0.295 0.500 Ni
```

Results
DFT total energy: -46.34 eV/cell
space-group type: Imm2 (44)
volume: 182.1 Å³/cell
ΔE_f: -0.30 eV per atom
calculated density: 8.3 g/cm3

(3)
## Tb3Zn3Ni (PBE)

Data for a relaxed structure of Tb3Zn3Ni.

Structure (POSCAR):
```
Tb3Zn3Ni
1.0
3.646 0.000 0.000
0.000 4.445 0.000
0.000 0.000 18.639
Tb Zn Ni
6 6 2
direct
0.000 0.000 0.000 Tb
0.000 0.000 0.373 Tb
0.000 0.500 0.200 Tb
0.500 0.000 0.700 Tb
0.500 0.500 0.500 Tb
0.500 0.500 0.873 Tb
0.000 0.000 0.554 Zn
0.000 0.000 0.829 Zn
0.000 0.500 0.630 Zn
0.500 0.000 0.130 Zn
0.500 0.500 0.054 Zn
0.500 0.500 0.329 Zn
0.000 0.500 0.762 Ni
0.500 0.000 0.262 Ni
```

Results
DFT total energy: -51.90 eV/cell
space-group type: Imm2 (44)
volume: 302.1 Å³/cell
ΔE_f: -0.35 eV per atom
calculated density: 8.0 g/cm3

(4)
## Tb3Zn2Ni6 (PBE)

Data for a relaxed structure of Tb3Zn2Ni6.

Structure (POSCAR):
```
Tb3Zn2Ni6
1.0
-4.460 4.460 4.460
4.460 -4.460 4.460
4.460 4.460 -4.460
Tb Zn Ni
6 4 12
direct
0.000 0.295 0.295 Tb
0.000 0.705 0.705 Tb
0.295 0.000 0.295 Tb
0.295 0.295 0.000 Tb
0.705 0.000 0.705 Tb
0.705 0.705 0.000 Tb
0.000 0.000 0.500 Zn
0.000 0.500 0.000 Zn
0.500 0.000 0.000 Zn
0.500 0.500 0.500 Zn
0.000 0.339 0.661 Ni
0.000 0.661 0.339 Ni
0.322 0.661 0.661 Ni
0.339 0.000 0.661 Ni
0.339 0.339 0.678 Ni
0.339 0.661 0.000 Ni
0.339 0.678 0.339 Ni
0.661 0.000 0.339 Ni
0.661 0.322 0.661 Ni
0.661 0.339 0.000 Ni
0.661 0.661 0.322 Ni
0.678 0.339 0.339 Ni
```

Results
DFT total energy: -112.22 eV/cell
space-group type: Im-3m (229)
volume: 354.8 Å³/cell
ΔE_f: -0.45 eV per atom
calculated density: 9.0 g/cm3

(5)
## TbZn2Ni5 (PBE)

Data for a relaxed structure of TbZn2Ni5.

Structure (POSCAR):
```
TbZn2Ni5
1.0
3.677 0.000 0.000
0.000 6.336 0.000
0.000 0.000 9.854
Tb Zn Ni
2 4 10
direct
0.000 0.000 0.000 Tb
0.500 0.500 0.500 Tb
0.000 0.500 0.241 Zn
0.000 0.500 0.759 Zn
0.500 0.000 0.259 Zn
0.500 0.000 0.741 Zn
0.000 0.192 0.375 Ni
0.000 0.192 0.625 Ni
0.000 0.500 0.000 Ni
0.000 0.808 0.375 Ni
0.000 0.808 0.625 Ni
0.500 0.000 0.500 Ni
0.500 0.308 0.125 Ni
0.500 0.308 0.875 Ni
0.500 0.692 0.125 Ni
0.500 0.692 0.875 Ni
```

Results
DFT total energy: -74.89 eV/cell
space-group type: Immm (71)
volume: 229.6 Å³/cell
ΔE_f: -0.17 eV per atom
calculated density: 8.4 g/cm3

(6)
## TbZn2Ni4 (PBE)

Data for a relaxed structure of TbZn2Ni4.

Structure (POSCAR):
```
TbZn2Ni4
1.0
8.001 0.000 0.000
0.000 6.252 0.000
-3.089 0.000 3.905
Tb Zn Ni
2 4 8
direct
0.000 0.000 0.000 Tb
0.500 0.500 0.000 Tb
0.000 0.500 0.249 Zn
0.000 0.500 0.751 Zn
0.500 0.000 0.249 Zn
0.500 0.000 0.751 Zn
0.192 0.193 0.692 Ni
0.192 0.807 0.692 Ni
0.308 0.307 0.308 Ni
0.308 0.693 0.308 Ni
0.692 0.307 0.692 Ni
0.692 0.693 0.692 Ni
0.808 0.193 0.308 Ni
0.808 0.807 0.308 Ni
```

Results
DFT total energy: -64.73 eV/cell
space-group type: C2/m (12)
volume: 195.3 Å³/cell
ΔE_f: -0.29 eV per atom
calculated density: 8.9 g/cm3
energy above the lowest structure with this stoichiometry: 0.0 meV per atom

(7)
## TbZnNi (PBE)

Data for a relaxed structure of TbZnNi.

Structure (POSCAR):
```
TbZnNi
1.0
6.812 0.000 0.000
0.000 3.979 0.000
0.000 0.000 7.980
Tb Zn Ni
4 4 4
direct
0.040 0.250 0.186 Tb
0.460 0.750 0.686 Tb
0.540 0.250 0.314 Tb
0.960 0.750 0.814 Tb
0.140 0.250 0.561 Zn
0.360 0.750 0.061 Zn
0.640 0.250 0.939 Zn
0.860 0.750 0.439 Zn
0.241 0.750 0.377 Ni
0.259 0.250 0.877 Ni
0.741 0.750 0.123 Ni
0.759 0.250 0.623 Ni
```

Results
DFT total energy: -52.17 eV/cell
space-group type: Pnma (62)
volume: 216.3 Å³/cell
ΔE_f: -0.45 eV per atom
calculated density: 8.7 g/cm3
energy above the lowest structure with this stoichiometry: 0.3 meV per atom

(8)
## Tb2Zn5Ni (PBE)

Data for a relaxed structure of Tb2Zn5Ni.

Structure (POSCAR):
```
Tb2Zn5Ni
1.0
2.075 -7.999 0.000
2.075 7.999 0.000
0.000 0.000 8.934
Tb Zn Ni
4 10 2
direct
0.000 0.000 0.000 Tb
0.000 0.000 0.500 Tb
0.187 0.813 0.750 Tb
0.813 0.187 0.250 Tb
0.193 0.807 0.108 Zn
0.193 0.807 0.392 Zn
0.356 0.644 0.024 Zn
0.356 0.644 0.476 Zn
0.402 0.598 0.750 Zn
0.598 0.402 0.250 Zn
0.644 0.356 0.524 Zn
0.644 0.356 0.976 Zn
0.807 0.193 0.608 Zn
0.807 0.193 0.892 Zn
0.445 0.555 0.250 Ni
0.555 0.445 0.750 Ni
```

Results
DFT total energy: -47.95 eV/cell
space-group type: Cmcm (63)
volume: 296.5 Å³/cell
ΔE_f: -0.32 eV per atom
calculated density: 7.9 g/cm3